# 1
Here is BaCd2InSn after structural relaxation from the Open Quantum Materials Database. Energies are from GGA-PBE.

abc: 4.942 4.942 12.216
angles: 90.00 90.00 90.00
Atoms (fractional coordinates):
Ba  0.250  0.250  0.250
Ba  0.750  0.750  0.750
Cd  0.250  0.250  0.638
Cd  0.250  0.750  0.000
Cd  0.750  0.250  0.000
Cd  0.750  0.750  0.362
In  0.250  0.250  0.869
In  0.750  0.750  0.131
Sn  0.250  0.750  0.500
Sn  0.750  0.250  0.500

Calculated values
total DFT energy (no corrections)	-2.46	eV per atom

# 2
Here is BaSrCdIn after structural relaxation from the Open Quantum Materials Database. Energies are from GGA-PBE.

abc: 5.875 5.875 5.875
angles: 60.00 60.00 60.00
Atoms (fractional coordinates):
Ba  0.000  0.000  0.000
Sr  0.500  0.500  0.500
Cd  0.250  0.250  0.250
In  0.750  0.750  0.750

Calculated values
total DFT energy (no corrections)	-2.19	eV per atom

# 3
Here is BaSrCdIn after structural relaxation from the Open Quantum Materials Database. Energies are from GGA-PBE.

abc: 5.747 5.747 5.747
angles: 60.00 60.00 60.00
Atoms (fractional coordinates):
Ba  0.000  0.000  0.000
Sr  0.750  0.750  0.750
Cd  0.250  0.250  0.250
In  0.500  0.500  0.500

Calculated values
total DFT energy (no corrections)	-1.99	eV per atom

# 4
Here is BaCd2Ir after structural relaxation from the Open Quantum Materials Database. Energies are from GGA-PBE.

abc: 5.177 5.177 5.177
angles: 60.00 60.00 60.00
Atoms (fractional coordinates):
Ba  0.000  0.000  0.000
Cd  0.500  0.500  0.500
Cd  0.750  0.750  0.750
Ir  0.250  0.250  0.250

Calculated values
total DFT energy (no corrections)	-2.93	eV per atom
M_tot	0.0	μB/f.u.

# 5
Here is BaCdIr2 after structural relaxation from the Open Quantum Materials Database. Energies are from GGA-PBE.

abc: 4.968 4.968 4.968
angles: 60.00 60.00 60.00
Atoms (fractional coordinates):
Ba  0.000  0.000  0.000
Cd  0.250  0.250  0.250
Ir  0.500  0.500  0.500
Ir  0.750  0.750  0.750

Calculated values
total DFT energy (no corrections)	-4.43	eV per atom
M_tot	1.3	μB/f.u.

# 6
Here is Ba2CdIrS6 after structural relaxation from the Open Quantum Materials Database. Energies are from GGA-PBE.

abc: 7.002 7.002 7.002
angles: 60.00 60.00 60.00
Atoms (fractional coordinates):
Ba  0.250  0.250  0.250
Ba  0.750  0.750  0.750
Cd  0.000  0.000  0.000
Ir  0.500  0.500  0.500
S  0.261  0.261  0.739
S  0.261  0.739  0.261
S  0.261  0.739  0.739
S  0.739  0.261  0.261
S  0.739  0.261  0.739
S  0.739  0.739  0.261

Calculated values
total DFT energy (no corrections)	-4.59	eV per atom
M_tot	2.9	μB/f.u.

# 7
Here is BaCdSn2Ir after structural relaxation from the Open Quantum Materials Database. Energies are from GGA-PBE.

abc: 4.809 4.809 11.446
angles: 90.00 90.00 90.00
Atoms (fractional coordinates):
Ba  0.250  0.250  0.240
Ba  0.750  0.750  0.760
Cd  0.250  0.750  0.500
Cd  0.750  0.250  0.500
Sn  0.250  0.250  0.659
Sn  0.250  0.750  0.000
Sn  0.750  0.250  0.000
Sn  0.750  0.750  0.341
Ir  0.250  0.250  0.890
Ir  0.750  0.750  0.110

Calculated values
total DFT energy (no corrections)	-4.41	eV per atom
M_tot	0.0	μB/f.u.

# 8
Here is K2Ba2Cd3 after structural relaxation from the Open Quantum Materials Database. Energies are from GGA-PBE.

abc: 10.220 10.220 10.220
angles: 34.02 34.02 34.02
Atoms (fractional coordinates):
K  0.000  0.000  0.000
K  0.496  0.496  0.496
Ba  0.246  0.246  0.246
Ba  0.748  0.748  0.748
Cd  0.370  0.370  0.370
Cd  0.622  0.622  0.622
Cd  0.876  0.876  0.876

Calculated values
total DFT energy (no corrections)	-1.34	eV per atom

# 9
Here is KBa4Cd after structural relaxation from the Open Quantum Materials Database. Energies are from GGA-PBE.

abc: 4.350 4.350 17.246
angles: 90.00 90.00 90.00
Atoms (fractional coordinates):
K  0.000  0.000  0.000
Ba  0.000  0.000  0.386
Ba  0.000  0.000  0.614
Ba  0.500  0.500  0.193
Ba  0.500  0.500  0.807
Cd  0.500  0.500  0.500

Calculated values
total DFT energy (no corrections)	-1.69	eV per atom

# 10
Here is KBa2Cd2Sb3 after structural relaxation from the Open Quantum Materials Database. Energies are from GGA-PBE.

abc: 13.250 4.992 16.907
angles: 90.00 90.00 90.00
Atoms (fractional coordinates):
K  0.100  0.250  0.054
K  0.400  0.750  0.554
K  0.600  0.250  0.446
K  0.900  0.750  0.946
Ba  0.100  0.750  0.428
Ba  0.128  0.250  0.789
Ba  0.372  0.750  0.289
Ba  0.400  0.250  0.928
Ba  0.600  0.750  0.072
Ba  0.628  0.250  0.711
Ba  0.872  0.750  0.211
Ba  0.900  0.250  0.572
Cd  0.135  0.250  0.283
Cd  0.195  0.250  0.584
Cd  0.305  0.750  0.084
Cd  0.365  0.750  0.783
Cd  0.635  0.250  0.217
Cd  0.695  0.250  0.916
Cd  0.805  0.750  0.416
Cd  0.865  0.750  0.717
Sb  0.078  0.750  0.635
Sb  0.134  0.750  0.196
Sb  0.212  0.750  0.924
Sb  0.288  0.250  0.424
Sb  0.366  0.250  0.696
Sb  0.422  0.250  0.135
Sb  0.578  0.750  0.865
Sb  0.634  0.750  0.304
Sb  0.712  0.750  0.576
Sb  0.788  0.250  0.076
Sb  0.866  0.250  0.804
Sb  0.922  0.250  0.365

Calculated values
total DFT energy (no corrections)	-3.10	eV per atom

# 11
Here is BaLaCd after structural relaxation from the Open Quantum Materials Database. Energies are from GGA-PBE.

abc: 5.437 5.437 5.437
angles: 60.00 60.00 60.00
Atoms (fractional coordinates):
Ba  0.000  0.000  0.000
La  0.250  0.250  0.250
Cd  0.500  0.500  0.500

Calculated values
total DFT energy (no corrections)	-2.29	eV per atom
M_tot	0.0	μB/f.u.

# 12
Here is Ba2Li2Cd3 after structural relaxation from the Open Quantum Materials Database. Energies are from GGA-PBE.

abc: 8.585 8.585 8.585
angles: 37.71 37.71 37.71
Atoms (fractional coordinates):
Ba  0.000  0.000  0.000
Ba  0.457  0.457  0.457
Li  0.189  0.189  0.189
Li  0.727  0.727  0.727
Cd  0.301  0.301  0.301
Cd  0.602  0.602  0.602
Cd  0.855  0.855  0.855

Calculated values
total DFT energy (no corrections)	-1.62	eV per atom

# 13
Here is BaLi2Cd2 after structural relaxation from the Open Quantum Materials Database. Energies are from GGA-PBE.

abc: 6.973 6.973 6.973
angles: 140.69 140.69 56.80
Atoms (fractional coordinates):
Ba  0.000  0.000  0.000
Li  0.250  0.750  0.500
Li  0.750  0.250  0.500
Cd  0.377  0.377  0.000
Cd  0.623  0.623  0.000

Calculated values
total DFT energy (no corrections)	-1.70	eV per atom

# 14
Here is BaLiCd4 after structural relaxation from the Open Quantum Materials Database. Energies are from GGA-PBE.

abc: 3.657 3.657 10.904
angles: 90.00 90.00 90.00
Atoms (fractional coordinates):
Ba  0.000  0.000  0.000
Li  0.500  0.500  0.500
Cd  0.000  0.000  0.365
Cd  0.000  0.000  0.635
Cd  0.500  0.500  0.222
Cd  0.500  0.500  0.778

Calculated values
total DFT energy (no corrections)	-1.42	eV per atom

# 15
Here is BaLi2Cd after structural relaxation from the Open Quantum Materials Database. Energies are from GGA-PBE.

abc: 5.465 5.465 5.465
angles: 60.00 60.00 60.00
Atoms (fractional coordinates):
Ba  0.000  0.000  0.000
Li  0.500  0.500  0.500
Li  0.750  0.750  0.750
Cd  0.250  0.250  0.250

Calculated values
total DFT energy (no corrections)	-1.70	eV per atom

# 16
Here is Ba4Li2Cd3P6 after structural relaxation from the Open Quantum Materials Database. Energies are from GGA-PBE.

abc: 10.227 10.227 16.849
angles: 90.00 90.00 154.60
Atoms (fractional coordinates):
Ba  0.016  0.984  0.622
Ba  0.016  0.984  0.878
Ba  0.171  0.829  0.068
Ba  0.171  0.829  0.432
Ba  0.829  0.171  0.568
Ba  0.829  0.171  0.932
Ba  0.984  0.016  0.122
Ba  0.984  0.016  0.378
Li  0.150  0.850  0.750
Li  0.437  0.563  0.750
Li  0.563  0.437  0.250
Li  0.850  0.150  0.250
Cd  0.297  0.703  0.750
Cd  0.349  0.651  0.125
Cd  0.349  0.651  0.375
Cd  0.651  0.349  0.625
Cd  0.651  0.349  0.875
Cd  0.703  0.297  0.250
P  0.120  0.880  0.250
P  0.220  0.780  0.618
P  0.220  0.780  0.882
P  0.431  0.569  0.250
P  0.444  0.556  0.511
P  0.444  0.556  0.989
P  0.556  0.444  0.011
P  0.556  0.444  0.489
P  0.569  0.431  0.750
P  0.780  0.220  0.118
P  0.780  0.220  0.382
P  0.880  0.120  0.750

Calculated values
total DFT energy (no corrections)	-3.90	eV per atom

# 17
Here is BaLuCd after structural relaxation from the Open Quantum Materials Database. Energies are from GGA-PBE.

abc: 5.328 5.328 5.328
angles: 60.00 60.00 60.00
Atoms (fractional coordinates):
Ba  0.000  0.000  0.000
Lu  0.250  0.250  0.250
Cd  0.500  0.500  0.500

Calculated values
total DFT energy (no corrections)	-2.09	eV per atom
M_tot	0.0	μB/f.u.

# 18
Here is BaMg2Cd4 after structural relaxation from the Open Quantum Materials Database. Energies are from GGA-PBE.

abc: 6.220 6.220 6.220
angles: 103.47 103.47 122.29
Atoms (fractional coordinates):
Ba  0.000  0.000  0.000
Mg  0.250  0.750  0.500
Mg  0.750  0.250  0.500
Cd  0.309  0.309  0.618
Cd  0.309  0.691  0.000
Cd  0.691  0.309  0.000
Cd  0.691  0.691  0.382

Calculated values
total DFT energy (no corrections)	-1.47	eV per atom

# 19
Here is BaMg2Cd after structural relaxation from the Open Quantum Materials Database. Energies are from GGA-PBE.

abc: 5.499 5.499 5.499
angles: 60.00 60.00 60.00
Atoms (fractional coordinates):
Ba  0.000  0.000  0.000
Mg  0.500  0.500  0.500
Mg  0.750  0.750  0.750
Cd  0.250  0.250  0.250

Calculated values
total DFT energy (no corrections)	-1.59	eV per atom

# 20
Here is BaMgCd2Pd after structural relaxation from the Open Quantum Materials Database. Energies are from GGA-PBE.

abc: 6.943 6.943 6.943
angles: 140.57 140.57 56.98
Atoms (fractional coordinates):
Ba  0.000  0.000  0.000
Mg  0.617  0.617  0.000
Cd  0.268  0.768  0.500
Cd  0.768  0.268  0.500
Pd  0.401  0.401  0.000

Calculated values
total DFT energy (no corrections)	-2.43	eV per atom